No. 1
{
  "formula": "MgIn2",
  "functional": "SCAN",
  "state": "PBEsol geometry",
  "crystal_system": "hexagonal",
  "dft_energy_ev_per_cell": -215.68,
  "n_ef_per_ev_cell": 3.80,
  "formation_energy_ev_per_atom": -0.0485,
  "lattice_angstrom": [[-0.0381, -0.4249, 3.4041], [5.6127, -6.4159, -0.7380], [2.7860, 8.0238, 1.0327]],
  "species": ["In", "In", "In", "In", "In", "In", "Mg", "Mg", "Mg"],
  "fractional_positions": [[0.5000, 0.0000, 0.7056], [0.0000, 0.6276, 0.6276], [0.5000, 0.2944, 0.2944], [0.0000, 0.0000, 0.3724], [0.0000, 0.3724, 0.0000], [0.5000, 0.7056, 0.0000], [0.5000, 0.6667, 0.3333], [0.5000, 0.3333, 0.6667], [0.0000, 0.0000, 0.0000]]
}

***

No. 2
{
  "formula": "ZrScTl2",
  "functional": "SCAN",
  "state": "PBEsol geometry",
  "crystal_system": "orthorhombic",
  "dft_energy_ev_per_cell": -190.94,
  "n_ef_per_ev_cell": 2.62,
  "formation_energy_ev_per_atom": -0.3214,
  "lattice_angstrom": [[4.0120, 0.0000, 0.0000], [0.0000, 4.4239, 0.0000], [-2.0060, -2.2119, 5.0518]],
  "species": ["Zr", "Sc", "Tl", "Tl"],
  "fractional_positions": [[0.4998, 0.9998, 0.9996], [0.2507, 0.2507, 0.5014], [0.7452, 0.7452, 0.4904], [0.0042, 0.5042, 0.0084]]
}